# 1
## ErMnCuC (GGA-PBE)

Data for a relaxed structure of ErMnCuC.

It has space group P4/nmm (No. 129, origin choice 2), with a = 3.343 Å, b = 3.343 Å, c = 9.916 Å, α = 90.00°, β = 90.00° and γ = 90.00°. The inequivalent atoms are Er at (0.250, 0.250, 0.246), Mn at (0.250, 0.750, 0.000), Cu at (0.250, 0.750, 0.500) and C at (0.250, 0.250, 0.880).

The value obtained for the calculated total energy is -27.63 eV per formula unit.

# 2
## Nb2CoGe (GGA-PBE)

Data for a relaxed structure of Nb2CoGe.

It has space group R-3m (No. 166, hexagonal axes), with a = 3.5943 Å, b = 3.5943 Å, c = 18.2507 Å, α = 90.00°, β = 90.00° and γ = 120.00°. The inequivalent atoms are Nb at (0.0000, 0.0000, 0.2410), Co at (0.0000, 0.0000, 0.5000) and Ge at (0.0000, 0.0000, 0.0000).

The value obtained for the calculated total energy is -31.44 eV per formula unit.

# 3
## La2CdSnRu (GGA-PBE)

Data for a relaxed structure of La2CdSnRu.

It has space group P4/mmm (No. 123), with a = 5.461 Å, b = 5.461 Å, c = 5.170 Å, α = 90.00°, β = 90.00° and γ = 90.00°. The inequivalent atoms are La at (0.000, 0.500, 0.000), Cd at (0.000, 0.000, 0.500), Sn at (0.500, 0.500, 0.500) and Ru at (0.500, 0.500, 0.000).

The calculation puts the energy relative to the lowest polymorph listed for this composition at 0 meV per atom.

# 4
## DyAg2SnSe4 (GGA-PBE)

Data for a relaxed structure of DyAg2SnSe4.

It has space group P2/m (No. 10), with a = 6.916 Å, b = 4.124 Å, c = 7.185 Å, α = 90.00°, β = 110.06° and γ = 90.00°. The inequivalent atoms are Dy at (0.000, 0.000, 0.000), Ag at (0.500, 0.000, 0.500), Ag at (0.500, 0.500, 0.000), Sn at (0.000, 0.500, 0.500), Se at (0.248, 0.500, 0.250) and Se at (0.255, 0.000, 0.753).

The value obtained for the formation energy without anion corrections is -0.714 eV per atom.

# 5
## IrOsSe2Br (GGA-PBE)

Data for a relaxed structure of IrOsSe2Br.

It has space group P4/mmm (No. 123), with a = 4.764 Å, b = 4.764 Å, c = 5.110 Å, α = 90.00°, β = 90.00° and γ = 90.00°. The inequivalent atoms are Ir at (0.000, 0.000, 0.000), Os at (0.500, 0.500, 0.500), Se at (0.000, 0.500, 0.500) and Br at (0.500, 0.500, 0.000).

The calculation puts the energy relative to the lowest polymorph listed for this composition at 0 meV per atom. The value obtained for the formation energy without anion corrections is 1.416 eV per atom.

# 6
## Cs8Ag2O3 (GGA-PBE)

Data for a relaxed structure of Cs8Ag2O3.

It has space group C2/m (No. 12), with a = 18.057 Å, b = 9.017 Å, c = 7.646 Å, α = 90.00°, β = 107.86° and γ = 90.00°. The inequivalent atoms are Cs at (0.090, 0.218, 0.379), Cs at (0.091, 0.000, 0.894), Cs at (0.105, 0.500, 0.990), Ag at (0.229, 0.500, 0.665), O at (0.000, 0.000, 0.500) and O at (0.000, 0.261, 0.000).

The value obtained for the formation energy without anion corrections is -0.667 eV per atom.

# 7
## LaTcMoSe2 (GGA-PBE)

Data for a relaxed structure of LaTcMoSe2.

It has space group P4/mmm (No. 123), with a = 5.659 Å, b = 5.659 Å, c = 5.434 Å, α = 90.00°, β = 90.00° and γ = 90.00°. The inequivalent atoms are La at (0.000, 0.000, 0.000), Tc at (0.500, 0.500, 0.500), Mo at (0.000, 0.000, 0.500) and Se at (0.000, 0.500, 0.000).

The value obtained for the formation energy without anion corrections is 1.559 eV per atom.

# 8
## LiPm4Ag2 (GGA-PBE)

Data for a relaxed structure of LiPm4Ag2.

It has space group R-3m (No. 166, hexagonal axes), with a = 5.2351 Å, b = 5.2351 Å, c = 25.7913 Å, α = 90.00°, β = 90.00° and γ = 120.00°. The inequivalent atoms are Li at (0.0000, 0.0000, 0.0000), Pm at (0.0000, 0.0000, 0.2139), Pm at (0.0000, 0.0000, 0.3737) and Ag at (0.0000, 0.0000, 0.0948).

The value obtained for the calculated total energy is -26.42 eV per formula unit.

# 9
## ZnAuCl2 (GGA-PBE)

Data for a relaxed structure of ZnAuCl2.

It has space group I4/mmm (No. 139), with a = 4.836 Å, b = 4.836 Å, c = 6.820 Å, α = 90.00°, β = 90.00° and γ = 90.00°. The inequivalent atoms are Zn at (0.000, 0.000, 0.000), Au at (0.000, 0.000, 0.500) and Cl at (0.000, 0.500, 0.250).

The calculation puts the energy relative to the lowest polymorph listed for this composition at 577 meV per atom. The value obtained for the formation energy without anion corrections is 0.123 eV per atom.

# 10
## TaPdAu (GGA-PBE)

Data for a relaxed structure of TaPdAu.

It has space group Imm2 (No. 44), with a = 2.922 Å, b = 4.004 Å, c = 8.545 Å, α = 90.00°, β = 90.00° and γ = 90.00°. The inequivalent atoms are Ta at (0.000, 0.000, 0.000), Pd at (0.000, 0.000, 0.663) and Au at (0.000, 0.000, 0.332).

The calculation puts the energy relative to the lowest polymorph listed for this composition at 0 meV per atom.

# 11
## RbLiIr3 (GGA-PBE)

Data for a relaxed structure of RbLiIr3.

It has space group Pm-3m (No. 221), with a = 4.464 Å, b = 4.464 Å, c = 4.464 Å, α = 90.00°, β = 90.00° and γ = 90.00°. The inequivalent atoms are Rb at (0.000, 0.000, 0.000), Li at (0.500, 0.500, 0.500) and Ir at (0.000, 0.500, 0.500).

The calculation puts the energy relative to the lowest polymorph listed for this composition at 0 meV per atom.

# 12
## Li2MgTa (GGA-PBE)

Data for a relaxed structure of Li2MgTa.

It has space group Pmm2 (No. 25), with a = 2.707 Å, b = 4.488 Å, c = 6.063 Å, α = 90.00°, β = 90.00° and γ = 90.00°. The inequivalent atoms are Li at (0.000, 0.000, 0.000), Li at (0.500, 0.500, 0.248), Mg at (0.000, 0.000, 0.505) and Ta at (0.500, 0.500, 0.750).

The value obtained for the calculated total energy is -15.80 eV per formula unit.